(1)
{"formula": "LiCaLa", "functional": "PBE", "state": "optimized geometry", "relative_energy_ev_per_fu": 0.15, "ef_ev_per_atom": 0.0776, "n_ef_per_ev_fu": 3.42, "lattice_angstrom": [[6.686, -1.887, 0.000], [6.686, 1.887, 0.000], [-2.161, 0.000, 7.837]], "species": ["Li", "Li", "Ca", "Ca", "La", "La"], "fractional_positions": [[0.000, 0.000, 0.000], [0.657, 0.657, 0.908], [0.351, 0.351, 0.191], [0.642, 0.642, 0.324], [0.004, 0.004, 0.597], [0.306, 0.306, 0.697]]}



(2)
{"formula": "LiCaLa2", "functional": "PBE", "state": "optimized geometry", "relative_energy_ev_per_fu": 0.23, "ef_ev_per_atom": 0.1085, "n_ef_per_ev_fu": 5.16, "lattice_angstrom": [[-1.972, 2.979, 5.792], [1.972, -2.979, 5.792], [1.972, 2.979, -5.792]], "species": ["Li", "Ca", "La", "La"], "fractional_positions": [[0.000, 0.000, 0.000], [0.782, 0.282, 0.500], [0.233, 0.733, 0.500], [0.497, 0.497, 0.000]]}



(3)
{"formula": "LiCaLa", "functional": "PBE", "state": "optimized geometry", "relative_energy_ev_per_fu": 0.14, "ef_ev_per_atom": 0.0739, "n_ef_per_ev_fu": 3.53, "lattice_angstrom": [[6.205, -1.844, 0.000], [6.205, 1.844, 0.000], [-3.427, 0.000, 8.611]], "species": ["Li", "Li", "Ca", "Ca", "La", "La"], "fractional_positions": [[0.000, 0.000, 0.000], [0.616, 0.616, 0.869], [0.320, 0.320, 0.144], [0.636, 0.636, 0.340], [0.296, 0.296, 0.715], [0.959, 0.959, 0.554]]}



(4)
{"formula": "LiCaLa", "functional": "PBE", "state": "optimized geometry", "relative_energy_ev_per_fu": 0.17, "ef_ev_per_atom": 0.0835, "n_ef_per_ev_fu": 3.59, "lattice_angstrom": [[6.110, 0.000, 0.000], [0.000, 3.632, 0.000], [-2.105, 0.000, 8.957]], "species": ["Li", "Li", "Ca", "Ca", "La", "La"], "fractional_positions": [[0.000, 0.000, 0.000], [0.239, 0.500, 0.235], [0.763, 0.000, 0.300], [0.901, 0.500, 0.688], [0.361, 0.000, 0.569], [0.478, 0.500, 0.922]]}



(5)
{"formula": "LiCaLa", "functional": "PBE", "state": "optimized geometry", "relative_energy_ev_per_fu": 0.35, "ef_ev_per_atom": 0.1438, "n_ef_per_ev_fu": 2.41, "lattice_angstrom": [[5.745, 0.000, 0.000], [-2.873, 4.975, 0.000], [0.000, 0.000, 3.573]], "species": ["Li", "Ca", "La"], "fractional_positions": [[0.000, 0.000, 0.000], [0.667, 0.333, 0.000], [0.333, 0.667, 0.500]]}



(6)
{"formula": "Li2CaLa", "functional": "PBE", "state": "optimized geometry", "relative_energy_ev_per_fu": 0.06, "ef_ev_per_atom": 0.0797, "n_ef_per_ev_fu": 4.75, "lattice_angstrom": [[3.839, 0.000, 0.000], [0.000, 3.858, 0.000], [0.000, 0.000, 8.101]], "species": ["Li", "Li", "Ca", "La"], "fractional_positions": [[0.000, 0.000, 0.249], [0.000, 0.000, 0.751], [0.500, 0.500, 0.500], [0.500, 0.500, 0.000]]}



(7)
{"formula": "LiCaLa", "functional": "PBE", "state": "optimized geometry", "relative_energy_ev_per_fu": 0.17, "ef_ev_per_atom": 0.0838, "n_ef_per_ev_fu": 3.14, "lattice_angstrom": [[9.044, -1.820, 0.000], [9.044, 1.820, 0.000], [-0.603, 0.000, 6.057]], "species": ["Li", "Li", "Ca", "Ca", "La", "La"], "fractional_positions": [[0.000, 0.000, 0.000], [0.125, 0.125, 0.379], [0.473, 0.473, 0.494], [0.779, 0.779, 0.428], [0.336, 0.336, 0.947], [0.658, 0.658, 0.889]]}



(8)
{"formula": "Li2CaLa", "functional": "PBE", "state": "optimized geometry", "relative_energy_ev_per_fu": 0.18, "ef_ev_per_atom": 0.1112, "n_ef_per_ev_fu": 4.33, "lattice_angstrom": [[3.638, 0.000, 0.000], [0.000, 5.377, 0.000], [-1.787, 0.000, 6.288]], "species": ["Li", "Li", "Ca", "La"], "fractional_positions": [[0.000, 0.000, 0.000], [0.136, 0.500, 0.278], [0.729, 0.000, 0.462], [0.415, 0.500, 0.829]]}



(9)
{"formula": "Li2CaLa", "functional": "PBE", "state": "optimized geometry", "relative_energy_ev_per_fu": 0.20, "ef_ev_per_atom": 0.1147, "n_ef_per_ev_fu": 4.58, "lattice_angstrom": [[2.032, -2.861, 0.000], [2.032, 2.861, 0.000], [0.000, 0.000, 10.735]], "species": ["Li", "Li", "Ca", "La"], "fractional_positions": [[0.000, 0.000, 0.000], [0.500, 0.500, 0.195], [0.500, 0.500, 0.744], [0.000, 0.000, 0.450]]}



(10)
{"formula": "Li2CaLa", "functional": "PBE", "state": "optimized geometry", "relative_energy_ev_per_fu": 0.10, "ef_ev_per_atom": 0.0916, "n_ef_per_ev_fu": 5.22, "lattice_angstrom": [[0.000, 3.912, 3.912], [3.912, 0.000, 3.912], [3.912, 3.912, 0.000]], "species": ["Li", "Li", "Ca", "La"], "fractional_positions": [[0.250, 0.250, 0.250], [0.750, 0.750, 0.750], [0.000, 0.000, 0.000], [0.500, 0.500, 0.500]]}



(11)
{"formula": "LiCaLa2", "functional": "PBE", "state": "optimized geometry", "relative_energy_ev_per_fu": 0.27, "ef_ev_per_atom": 0.1188, "n_ef_per_ev_fu": 5.44, "lattice_angstrom": [[1.838, 1.061, 11.895], [-1.838, 1.061, 11.895], [0.000, -2.123, 11.895]], "species": ["Li", "Ca", "La", "La"], "fractional_positions": [[0.000, 0.000, 0.000], [0.833, 0.833, 0.833], [0.410, 0.410, 0.410], [0.589, 0.589, 0.589]]}



(12)
{"formula": "LiCaLa2", "functional": "PBE", "state": "optimized geometry", "relative_energy_ev_per_fu": 0.87, "ef_ev_per_atom": 0.2708, "n_ef_per_ev_fu": 5.86, "lattice_angstrom": [[-4.565, 4.565, 3.289], [4.565, -4.565, 3.289], [4.565, 4.565, -3.289]], "species": ["Li", "Li", "Ca", "Ca", "La", "La", "La", "La"], "fractional_positions": [[0.000, 0.000, 0.000], [0.750, 0.250, 0.500], [0.250, 0.750, 0.500], [0.500, 0.500, 0.000], [0.088, 0.125, 0.463], [0.375, 0.912, 0.037], [0.662, 0.625, 0.537], [0.875, 0.338, 0.963]]}



(13)
{"formula": "LiCaLa2", "functional": "PBE", "state": "optimized geometry", "relative_energy_ev_per_fu": 0.01, "ef_ev_per_atom": 0.0536, "n_ef_per_ev_fu": 5.46, "lattice_angstrom": [[6.868, -1.854, 0.000], [6.868, 1.854, 0.000], [-2.412, 0.000, 5.245]], "species": ["Li", "Ca", "La", "La"], "fractional_positions": [[0.000, 0.000, 0.000], [0.500, 0.500, 0.500], [0.278, 0.278, 0.778], [0.722, 0.722, 0.222]]}



(14)
{"formula": "LiCaLa2", "functional": "PBE", "state": "optimized geometry", "relative_energy_ev_per_fu": 0.00, "ef_ev_per_atom": 0.0521, "n_ef_per_ev_fu": 6.18, "lattice_angstrom": [[3.813, 0.000, 0.000], [0.000, 3.813, 0.000], [0.000, 0.000, 9.342]], "species": ["Li", "Ca", "La", "La"], "fractional_positions": [[0.000, 0.000, 0.000], [0.500, 0.500, 0.215], [0.000, 0.000, 0.516], [0.500, 0.500, 0.778]]}



(15)
{"formula": "LiCaLa", "functional": "PBE", "state": "optimized geometry", "relative_energy_ev_per_fu": 0.00, "ef_ev_per_atom": 0.0267, "n_ef_per_ev_fu": 2.45, "lattice_angstrom": [[3.767, 0.000, 0.000], [0.000, 5.748, 0.000], [-1.877, 0.000, 9.082]], "species": ["Li", "Li", "Ca", "Ca", "La", "La"], "fractional_positions": [[0.071, 0.250, 0.139], [0.929, 0.750, 0.861], [0.413, 0.250, 0.824], [0.587, 0.750, 0.176], [0.275, 0.750, 0.552], [0.725, 0.250, 0.448]]}



(16)
{"formula": "Li2CaLa", "functional": "PBE", "state": "optimized geometry", "relative_energy_ev_per_fu": 0.31, "ef_ev_per_atom": 0.1443, "n_ef_per_ev_fu": 4.13, "lattice_angstrom": [[1.803, 1.041, 11.273], [-1.803, 1.041, 11.273], [0.000, -2.082, 11.273]], "species": ["Li", "Li", "Ca", "La"], "fractional_positions": [[0.000, 0.000, 0.000], [0.167, 0.167, 0.167], [0.583, 0.583, 0.583], [0.750, 0.750, 0.750]]}



(17)
{"formula": "LiCaLa", "functional": "PBE", "state": "optimized geometry", "relative_energy_ev_per_fu": 0.26, "ef_ev_per_atom": 0.1141, "n_ef_per_ev_fu": 3.62, "lattice_angstrom": [[1.850, 1.068, 8.675], [-1.850, 1.068, 8.675], [0.000, -2.137, 8.675]], "species": ["Li", "Ca", "La"], "fractional_positions": [[0.000, 0.000, 0.000], [0.440, 0.440, 0.440], [0.227, 0.227, 0.227]]}



(18)
{"formula": "LiCaLa", "functional": "PBE", "state": "optimized geometry", "relative_energy_ev_per_fu": 0.00, "ef_ev_per_atom": 0.0266, "n_ef_per_ev_fu": 3.46, "lattice_angstrom": [[3.802, 0.000, 0.000], [0.000, 3.802, 0.000], [0.000, 0.000, 13.790]], "species": ["Li", "Li", "Ca", "Ca", "La", "La"], "fractional_positions": [[0.250, 0.250, 0.048], [0.750, 0.750, 0.952], [0.250, 0.250, 0.794], [0.750, 0.750, 0.206], [0.250, 0.250, 0.410], [0.750, 0.750, 0.590]]}



(19)
{"formula": "Li2CaLa", "functional": "PBE", "state": "optimized geometry", "relative_energy_ev_per_fu": 0.16, "ef_ev_per_atom": 0.1060, "n_ef_per_ev_fu": 4.94, "lattice_angstrom": [[-1.804, 2.883, 5.750], [1.804, -2.883, 5.750], [1.804, 2.883, -5.750]], "species": ["Li", "Li", "Ca", "La"], "fractional_positions": [[0.000, 0.000, 0.000], [0.815, 0.315, 0.500], [0.260, 0.760, 0.500], [0.555, 0.555, 0.000]]}



(20)
{"formula": "LiCaLa2", "functional": "PBE", "state": "optimized geometry", "relative_energy_ev_per_fu": 0.65, "ef_ev_per_atom": 0.2152, "n_ef_per_ev_fu": 6.51, "lattice_angstrom": [[0.000, 4.092, 4.092], [4.092, 0.000, 4.092], [4.092, 4.092, 0.000]], "species": ["Li", "Ca", "La", "La"], "fractional_positions": [[0.000, 0.000, 0.000], [0.750, 0.750, 0.750], [0.250, 0.250, 0.250], [0.500, 0.500, 0.500]]}